DFT (PBE) results for crystalline Na2ZnHgF6 at its relaxed geometry.

Values from the calculation:
N(E_F), states/eV/f.u.: 0.0
Volume, Å³/atom: 16.6
Space-group type: P4mm (99)
Formation energy from raw total energies, eV/atom: -2.146
Energy, eV for the cell shown: -36.9

abc: 5.2081 5.6466 5.6466
angles: 90.00 90.00 90.00
Element x y z (fractional)
F1 0.7380 0.2373 0.2373
F2 0.7380 0.2373 0.7627
F3 0.2332 0.0000 0.0000
F4 0.1438 0.5000 0.5000
F5 0.7380 0.7627 0.2373
F6 0.7380 0.7627 0.7627
Na1 0.9801 0.5000 0.0000
Na2 0.9801 0.0000 0.5000
Hg1 0.5586 0.5000 0.5000
Zn1 0.5990 0.0000 0.0000